[1]
Density functional theory data (meta-GGA SCAN) for a crystal of CrWS2Cl relaxed with PBEsol.

a b c (Å): 4.3631 4.6057 4.6057
angles (deg): 90.00 90.00 90.00
Fractional positions:
1 Cl 0.5000 0.0000 0.0000
2 Cr 0.0000 0.0000 0.0000
3 S 0.0000 0.0000 0.5000
4 W 0.5000 0.5000 0.5000
5 S 0.0000 0.5000 0.0000

Crystal system: tetragonal
Space group: No. 123
E_tot: -22.46 eV/atom
Formation energy (no corrections): 0.602 eV per atom


[2]
Density functional theory data (meta-GGA SCAN) for a crystal of ZnCrS2Cl relaxed with PBEsol.

a b c (Å): 4.4885 4.4885 4.6570
angles (deg): 90.00 90.00 90.00
Fractional positions:
1 Cr 0.0000 0.0000 0.0000
2 Zn 0.5000 0.5000 0.5000
3 Cl 0.0000 0.0000 0.5000
4 S 0.5000 0.0000 0.0000
5 S 0.0000 0.5000 0.0000

Crystal system: tetragonal
Space group: No. 123
E_tot: -12.02 eV/atom
Formation energy (no corrections): -0.189 eV per atom